No. 1
Pm2ZnAu | Alexandria | PBE | relaxed; distance to the lowest polymorph of the same formula = 629.2 meV/atom; formation energy = 28 kJ/mol of formula units; total magnetic moment = 0.00 μB per cell
1.0
3.543 0.000 0.000
-1.772 3.069 0.000
0.000 0.000 31.192
Pm Zn Au
6 3 3
Direct
0.000 0.000 0.093
0.000 0.000 0.907
0.333 0.667 0.574
0.333 0.667 0.760
0.667 0.333 0.240
0.667 0.333 0.426
0.000 0.000 0.500
0.333 0.667 0.167
0.667 0.333 0.833
0.000 0.000 0.000
0.333 0.667 0.667
0.667 0.333 0.333

No. 2
Ca2ZrRhO6 | Alexandria | PBE | relaxed; formation energy from raw total energies = -2.4327 eV/atom; total magnetic moment = 2.11 μB per cell
1.0
5.540 0.000 0.000
0.000 5.709 0.000
-5.462 0.000 7.922
Ca Zr Rh O
4 2 2 12
Direct
0.234 0.054 0.249
0.234 0.446 0.749
0.766 0.554 0.251
0.766 0.946 0.751
0.500 0.000 0.000
0.500 0.500 0.500
0.000 0.000 0.500
0.000 0.500 0.000
0.143 0.207 0.949
0.143 0.293 0.449
0.242 0.700 0.948
0.242 0.800 0.448
0.343 0.033 0.744
0.343 0.467 0.244
0.657 0.533 0.756
0.657 0.967 0.256
0.758 0.200 0.552
0.758 0.300 0.052
0.857 0.707 0.551
0.857 0.793 0.051

No. 3
KYW | Alexandria | PBE | relaxed; distance to the lowest polymorph of the same formula = 180.6 meV/atom; formation energy = 350 kJ/mol of formula units; total magnetic moment = 0.00 μB per cell
1.0
2.957 0.000 0.000
0.000 4.674 0.000
0.000 0.000 13.007
K Y W
2 2 2
Direct
0.000 0.000 0.000
0.500 0.500 0.500
0.000 0.000 0.278
0.500 0.500 0.778
0.000 0.000 0.697
0.500 0.500 0.197

No. 4
AcPaGa2Rh5 | Alexandria | PBE | relaxed; formation energy = -490 kJ/mol of formula units; total magnetic moment = 0.00 μB per cell
1.0
4.742 0.000 0.000
0.000 4.742 0.000
0.000 0.000 7.605
Ac Pa Ga Rh
1 1 2 5
Direct
0.000 0.000 0.000
0.000 0.000 0.500
0.500 0.500 0.331
0.500 0.500 0.669
0.000 0.500 0.284
0.000 0.500 0.716
0.500 0.000 0.284
0.500 0.000 0.716
0.500 0.500 0.000

| no. | D(E_F) (states/eV/f.u.) |
| --- | --- |
| 1 | 3.12 |
| 2 | 5.25 |
| 3 | 2.42 |
| 4 | 4.19 |